A plane-wave DFT calculation with PBE+U was carried out for a geometry-optimized Mo3H12C4NO10 structure.

Values from the calculation:
total energy = -5.930 eV/atom
total moment = 8.00 Bohr magnetons per cell

Cell lengths 14.490, 14.490, 14.490 Å; angles 90.00, 90.00, 90.00 degrees
Space group Fm-3m (No. 225)
Unique sites:
1 Mo 0.000 0.000 0.163
2 H 0.147 0.147 0.265
3 C 0.190 0.190 0.310
4 N 0.250 0.250 0.250
5 O 0.000 0.000 0.000
6 O 0.000 0.000 0.281
7 O 0.000 0.000 0.500
8 O 0.000 0.132 0.132